Record 1
DFT (PBE) results for a geometry-optimized SrNdTm2 structure.

Results
Energy relative to the elements = 0.14 eV per atom

```
SrNdTm2
1.0
3.674 0.000 0.000
1.837 3.182 0.000
1.837 1.061 12.093
Sr Nd Tm
1 1 2
Direct
0.500 0.500 0.499
0.666 0.666 0.001
0.078 0.078 0.766
0.255 0.255 0.234
```



Record 2
DFT (PBE) results for a geometry-optimized InTePb2 structure.

Results
Energy relative to the elements, uncorrected = -0.0204 eV/atom

```
InTePb2
1.0
-6.282 -1.217 1.873
3.074 -4.563 -3.767
0.248 -2.884 2.122
In Pb Te
1 2 1
Direct
0.000 0.500 0.500
0.000 0.000 0.000
0.500 0.500 0.000
0.500 0.000 0.500
```



Record 3
DFT (PBE) results for a geometry-optimized Zn2In2Se structure.

Results
Energy relative to the elements, uncorrected = -0.0048 eV/atom

```
Zn2In2Se
1.0
-2.215 3.244 6.017
5.977 -2.151 3.360
2.023 3.683 -1.241
Zn Se In
4 2 4
Direct
0.374 0.874 0.000
0.874 0.626 0.000
0.626 0.126 0.000
0.126 0.374 0.000
0.000 0.000 0.000
0.500 0.500 0.000
0.177 0.677 0.500
0.677 0.823 0.500
0.823 0.323 0.500
0.323 0.177 0.500
```



Record 4
DFT (PBE) results for a geometry-optimized Tc2MoHRu structure.

```
Tc2MoHRu
1.0
-0.896 -0.253 3.829
-3.774 -0.653 -0.927
0.690 -3.857 -0.093
Ru Mo Tc H
1 1 2 1
Direct
0.000 0.000 0.500
0.500 0.500 0.500
0.000 0.500 0.000
0.500 0.000 0.000
0.000 0.000 0.000
```



| no. | excess energy over the best structure of this formula in the dataset (eV per atom) |
| --- | --- |
| 1 | 0.000 |
| 2 | 0.055 |
| 3 | 0.000 |
| 4 | 0.000 |